DFT (PBE) results for Nb2AgBr after structural relaxation.

a = 4.676 Å, b = 4.676 Å, c = 4.676 Å
α = 60.00°, β = 60.00°, γ = 60.00°
Atoms (fractional coordinates):
Nb (0.750, 0.750, 0.750)
Nb (0.250, 0.250, 0.250)
Br (0.000, 0.000, 0.000)
Ag (0.500, 0.500, 0.500)

Summary:
**Magnetic moment**: 0.000 Bohr magnetons per cell
**Energy**: -22.16 eV per cell
**Symmetry**: Fm-3m
**Energy relative to the lowest polymorph listed for this composition**: 0.00 eV/f.u.
**Formation energy without anion corrections**: 626 meV/atom

DFT (PBE) results for Nb2AgBr after structural relaxation.

a = 4.006 Å, b = 4.006 Å, c = 10.487 Å
α = 78.99°, β = 78.99°, γ = 90.00°
Atoms (fractional coordinates):
Br (0.250, 0.750, 0.500)
Br (0.500, 0.500, 0.000)
Nb (0.120, 0.625, 0.250)
Nb (0.630, 0.125, 0.250)
Nb (0.875, 0.880, 0.750)
Nb (0.375, 0.370, 0.750)
Ag (0.000, 0.000, 0.000)
Ag (0.750, 0.250, 0.500)

Summary:
**Magnetic moment**: 0.000 Bohr magnetons per cell
**Energy**: -43.64 eV per cell
**Symmetry**: I-42d
**Energy relative to the lowest polymorph listed for this composition**: 0.34 eV/f.u.
**Formation energy without anion corrections**: 711 meV/atom

Question: What is the formula in the second record?
Answer: Nb2AgBr

Question: magnetic moment of number 1 (Nb2AgBr)?
Answer: 0.000 Bohr magnetons per cell

Question: Number 2 is which compound?
Answer: Nb2AgBr

Question: Look up the energy of the first one.
Answer: -22.16 eV per cell